(1)
{"formula": "BaAs", "functional": "PBE", "state": "relaxed", "cell": [[11.922, 0.000, 0.000], [0.000, 4.391, 0.000], [-4.077, 0.000, 8.174]], "species": ["Ba", "Ba", "Ba", "Ba", "Ba", "Ba", "As", "As", "As", "As", "As", "As"], "frac_coords": [[0.000, 0.000, 0.000], [0.155, 0.000, 0.675], [0.325, 0.500, 0.381], [0.500, 0.500, 0.000], [0.655, 0.500, 0.675], [0.825, 0.000, 0.381], [0.028, 0.500, 0.307], [0.315, 0.000, 0.093], [0.441, 0.000, 0.694], [0.528, 0.000, 0.307], [0.815, 0.500, 0.093], [0.941, 0.500, 0.694]], "vol_a3_per_atom": 35.66, "formation_energy_ev_per_atom": -0.952}


(2)
{"formula": "Er11Cd9Ga4", "functional": "PBE", "state": "relaxed", "cell": [[7.309, -10.984, 0.000], [7.309, 10.984, 0.000], [0.000, 0.000, 3.626]], "species": ["Er", "Er", "Er", "Er", "Er", "Er", "Er", "Er", "Er", "Er", "Er", "Cd", "Cd", "Cd", "Cd", "Cd", "Cd", "Cd", "Cd", "Cd", "Ga", "Ga", "Ga", "Ga"], "frac_coords": [[0.000, 0.000, 0.000], [0.063, 0.410, 0.000], [0.164, 0.836, 0.000], [0.299, 0.299, 0.000], [0.370, 0.630, 0.000], [0.410, 0.063, 0.000], [0.590, 0.937, 0.000], [0.630, 0.370, 0.000], [0.701, 0.701, 0.000], [0.836, 0.164, 0.000], [0.937, 0.590, 0.000], [0.068, 0.213, 0.500], [0.158, 0.630, 0.500], [0.213, 0.068, 0.500], [0.370, 0.842, 0.500], [0.500, 0.500, 0.500], [0.630, 0.158, 0.500], [0.787, 0.932, 0.500], [0.842, 0.370, 0.500], [0.932, 0.787, 0.500], [0.249, 0.449, 0.500], [0.449, 0.249, 0.500], [0.551, 0.751, 0.500], [0.751, 0.551, 0.500]], "vol_a3_per_atom": 24.26, "formation_energy_ev_per_atom": -0.384}


(3)
{"formula": "Na2ScNbAu", "functional": "PBE", "state": "relaxed", "cell": [[5.324, 0.000, 0.000], [0.000, 5.324, 0.000], [0.000, 0.000, 4.794]], "species": ["Na", "Na", "Sc", "Nb", "Au"], "frac_coords": [[0.000, 0.500, 0.000], [0.500, 0.000, 0.000], [0.000, 0.000, 0.000], [0.000, 0.000, 0.500], [0.500, 0.500, 0.500]], "vol_a3_per_atom": 27.17, "formation_energy_ev_per_atom": 1.280}


(4)
{"formula": "IrIO", "functional": "PBE", "state": "relaxed", "cell": [[2.968, 0.000, 0.000], [0.000, 3.726, 0.000], [0.000, 0.000, 5.716]], "species": ["Ir", "I", "O"], "frac_coords": [[0.000, 0.000, 0.000], [0.000, 0.000, 0.500], [0.000, 0.500, 0.000]], "e_above_lowest_polymorph_mev_per_atom": 67, "raw_formation_energy_ev_per_atom": -0.028, "vol_a3_per_atom": 21.07}


(5)
{"formula": "K2RbCdIn", "functional": "PBE", "state": "relaxed", "cell": [[6.901, 0.000, 0.000], [0.000, 6.901, 0.000], [0.000, 0.000, 5.729]], "species": ["K", "K", "Rb", "Cd", "In"], "frac_coords": [[0.000, 0.500, 0.000], [0.500, 0.000, 0.000], [0.000, 0.000, 0.500], [0.500, 0.500, 0.500], [0.500, 0.500, 0.000]], "e_above_lowest_polymorph_mev_per_atom": 10, "vol_a3_per_atom": 54.58, "formation_energy_ev_per_atom": 0.049}


(6)
{"formula": "CsGaFe3", "functional": "PBE", "state": "relaxed", "cell": [[4.782, 0.000, 0.000], [0.000, 4.782, 0.000], [0.000, 0.000, 4.782]], "species": ["Cs", "Ga", "Fe", "Fe", "Fe"], "frac_coords": [[0.000, 0.000, 0.000], [0.500, 0.500, 0.500], [0.000, 0.000, 0.500], [0.000, 0.500, 0.000], [0.500, 0.000, 0.000]], "e_above_lowest_polymorph_mev_per_atom": 1247, "vol_a3_per_atom": 21.87, "formation_energy_ev_per_atom": 2.464}


(7)
{"formula": "Na4Pu3SnSe8", "functional": "PBE", "state": "relaxed", "cell": [[4.242, 2.449, 6.882], [-4.242, 2.449, 6.882], [0.000, -4.898, 6.882]], "species": ["Na", "Na", "Na", "Na", "Pu", "Pu", "Pu", "Sn", "Se", "Se", "Se", "Se", "Se", "Se", "Se", "Se"], "frac_coords": [[0.000, 0.000, 0.000], [0.000, 0.500, 0.500], [0.500, 0.000, 0.500], [0.500, 0.500, 0.000], [0.000, 0.000, 0.500], [0.000, 0.500, 0.000], [0.500, 0.000, 0.000], [0.500, 0.500, 0.500], [0.233, 0.748, 0.748], [0.243, 0.243, 0.243], [0.252, 0.252, 0.767], [0.252, 0.767, 0.252], [0.748, 0.233, 0.748], [0.748, 0.748, 0.233], [0.757, 0.757, 0.757], [0.767, 0.252, 0.252]], "raw_formation_energy_ev_per_atom": -1.239, "vol_a3_per_atom": 26.81}


(8)
{"formula": "CdCoAu2", "functional": "PBE", "state": "relaxed", "cell": [[9.608, 0.000, 0.000], [0.000, 2.965, 0.000], [-1.109, 0.000, 4.772]], "species": ["Cd", "Cd", "Co", "Co", "Au", "Au", "Au", "Au"], "frac_coords": [[0.000, 0.000, 0.000], [0.500, 0.500, 0.000], [0.242, 0.500, 0.267], [0.742, 0.000, 0.267], [0.240, 0.000, 0.754], [0.478, 0.000, 0.477], [0.740, 0.500, 0.754], [0.978, 0.500, 0.477]], "vol_a3_per_atom": 16.99, "formation_energy_ev_per_atom": 0.145}


Short version: E = -8.48, -79.76, -15.92, -15.45, -6.57, -16.95, -99.98, -14.00 eV/f.u., in the order given.